This record from Alexandria via LeMat-Bulk describes Ba2LiTeS after structural relaxation. The functional is GGA-PBE.

Results
Raw formation energy in eV/atom: -1.36
DOS at the Fermi energy in states/eV/cell: 2.95

```
Ba2LiTeS
1.0
-4.469 -3.391 -2.530
-0.583 -3.151 5.253
-3.101 3.001 1.456
Li Ba S Te
1 2 1 1
direct
0.000 0.000 0.500 Li
0.500 0.000 0.000 Ba
0.000 0.500 0.000 Ba
0.000 0.000 0.000 S
0.500 0.500 0.500 Te
```

=====

This record from Alexandria via LeMat-Bulk describes BaLi2TeS4 after structural relaxation. The functional is GGA-PBE.

Results
Raw formation energy in eV/atom: -0.86

```
BaLi2TeS4
1.0
-5.995 -3.871 3.800
-1.939 -4.005 -6.751
7.814 -0.082 3.005
Li S Ba Te
4 8 2 2
direct
0.500 0.000 0.000 Li
0.000 0.000 0.500 Li
0.500 0.500 0.000 Li
0.500 0.000 0.500 Li
0.731 0.770 0.981 S
0.268 0.789 0.029 S
0.269 0.230 0.019 S
0.270 0.231 0.481 S
0.289 0.768 0.529 S
0.711 0.232 0.471 S
0.732 0.211 0.971 S
0.730 0.769 0.519 S
0.000 0.500 0.500 Ba
0.000 0.500 0.000 Ba
0.000 0.000 0.000 Te
0.500 0.500 0.500 Te
```

=====

This record from Alexandria via LeMat-Bulk describes BaLiTe2S4 after structural relaxation. The functional is GGA-PBE.

Results
Raw formation energy in eV/atom: -0.72
DOS at the Fermi energy in states/eV/cell: 3.33

```
BaLiTe2S4
1.0
7.145 0.000 0.000
3.572 5.428 0.143
3.572 0.588 5.398
Ba S Te Li
1 4 2 1
direct
0.000 0.000 0.000 Ba
0.877 0.536 0.123 S
0.464 0.123 0.536 S
0.536 0.464 0.877 S
0.123 0.877 0.464 S
0.250 0.250 0.250 Te
0.750 0.750 0.750 Te
0.500 0.500 0.500 Li
```

=====

This record from Alexandria via LeMat-Bulk describes BaLiTe2S after structural relaxation. The functional is GGA-PBE.

Results
Raw formation energy in eV/atom: -0.69
DOS at the Fermi energy in states/eV/cell: 5.24

```
BaLiTe2S
1.0
5.268 0.000 0.000
0.000 5.066 0.000
0.000 0.000 5.268
Te Li Ba S
2 1 1 1
direct
0.500 0.000 0.000 Te
0.000 0.000 0.500 Te
0.000 0.000 0.000 Li
0.500 0.500 0.500 Ba
0.000 0.500 0.000 S
```

=====

This record from Alexandria via LeMat-Bulk describes BaLi2ThS4 after structural relaxation. The functional is GGA-PBE.

Results
Raw formation energy in eV/atom: -1.66
DOS at the Fermi energy in states/eV/cell: 0.00

```
BaLi2ThS4
1.0
6.975 0.000 0.000
3.487 5.409 0.241
3.487 0.683 5.371
Li S Ba Th
2 4 1 1
direct
0.250 0.250 0.250 Li
0.750 0.750 0.750 Li
0.469 0.091 0.531 S
0.910 0.531 0.091 S
0.531 0.469 0.909 S
0.090 0.909 0.469 S
0.000 0.000 0.000 Ba
0.500 0.500 0.500 Th
```

=====

This record from Alexandria via LeMat-Bulk describes BaLiThS4 after structural relaxation. The functional is GGA-PBE.

Results
Raw formation energy in eV/atom: -1.55
DOS at the Fermi energy in states/eV/cell: 3.31

```
BaLiThS4
1.0
5.737 0.000 0.000
0.000 7.094 0.000
-2.869 0.000 8.033
Li S Ba Th
2 8 2 2
direct
0.265 0.750 0.531 Li
0.735 0.250 0.469 Li
0.413 0.750 0.827 S
0.000 0.000 0.500 S
0.044 0.750 0.088 S
0.500 0.000 0.500 S
0.500 0.500 0.500 S
0.956 0.250 0.912 S
0.000 0.500 0.500 S
0.587 0.250 0.173 S
0.396 0.250 0.791 Ba
0.604 0.750 0.209 Ba
0.876 0.750 0.752 Th
0.124 0.250 0.248 Th
```